# 1
NbGaPd2Rh (SCAN, PBEsol geometry); total DFT energy (no corrections) = -2.1170 Ry per atom
1.0
4.805 0.000 0.000
0.000 4.805 0.000
0.000 0.000 4.541
Nb Ga Pd Rh
1 1 2 1
Cartesian
0.000 0.000 0.000
2.402 2.402 0.000
0.000 2.402 2.270
2.402 0.000 2.270
0.000 0.000 2.270


# 2
Cr2C (SCAN, PBEsol geometry); total DFT energy (no corrections) = -1.1472 Ry per atom
1.0
1.380 0.797 4.320
-1.380 0.797 4.320
0.000 -1.593 4.320
Cr C
2 1
Cartesian
0.000 0.000 3.219
0.000 0.000 9.742
0.000 0.000 0.000


# 3
CrIr2Rh (SCAN, PBEsol geometry); total DFT energy (no corrections) = -3.5890 Ry per atom
1.0
-1.885 1.885 3.737
1.885 -1.885 3.737
1.885 1.885 -3.737
Cr Ir Rh
1 2 1
Cartesian
0.000 0.000 0.000
1.885 0.000 1.868
0.000 1.885 1.868
0.000 0.000 3.737


# 4
Co2SiNi (SCAN, PBEsol geometry); uncorrected formation energy = -0.89 eV/f.u.
1.0
3.475 0.000 0.000
0.000 3.475 0.000
0.000 0.000 3.373
Co Si Ni
2 1 1
Cartesian
0.000 1.738 0.000
1.738 0.000 0.000
0.000 0.000 1.686
1.738 1.738 1.686


# 5
CaCuPO2 (SCAN, PBEsol geometry); uncorrected formation energy = -2.92 eV/f.u.
1.0
3.974 0.000 0.000
0.000 3.974 0.000
0.000 0.000 4.286
Ca Cu P O
1 1 1 2
Cartesian
0.000 0.000 0.000
1.987 1.987 2.143
1.987 1.987 0.000
0.000 1.987 2.143
1.987 0.000 2.143


# 6
CeSbPd (SCAN, PBEsol geometry); uncorrected formation energy = -3.47 eV/f.u.
1.0
4.599 0.000 0.000
-2.300 3.983 0.000
0.000 0.000 7.446
Ce Sb Pd
2 2 2
Cartesian
0.000 0.000 0.000
0.000 0.000 3.723
0.000 2.655 1.981
2.300 1.328 5.704
0.000 2.655 5.056
2.300 1.328 1.332


# 7
BaHgIr2 (SCAN, PBEsol geometry); total DFT energy (no corrections) = -4.5286 Ry per atom
1.0
-2.210 2.210 4.147
2.210 -2.210 4.147
2.210 2.210 -4.147
Ba Hg Ir
1 1 2
Cartesian
0.000 0.000 0.000
0.000 0.000 4.147
2.210 0.000 2.074
0.000 2.210 2.074


# 8
Y2OsCl (SCAN, PBEsol geometry); relative energy among the computed polymorphs = 0.5814 eV per atom; uncorrected formation energy = -2.05 eV/f.u.
1.0
-2.237 2.666 3.437
2.237 -2.666 3.437
2.237 2.666 -3.437
Y Os Cl
2 1 1
Cartesian
0.000 0.000 1.703
0.000 0.000 5.171
2.237 0.000 0.000
0.000 2.666 0.000


# 9
Mn2CuSnBi (SCAN, PBEsol geometry); total DFT energy (no corrections) = -2.4207 Ry per atom
1.0
4.732 0.000 0.000
0.000 4.732 0.000
0.000 0.000 4.715
Mn Cu Sn Bi
2 1 1 1
Cartesian
0.000 2.366 0.000
2.366 0.000 0.000
0.000 0.000 0.000
0.000 0.000 2.357
2.366 2.366 2.357


# 10
Sr2TcNi (SCAN, PBEsol geometry); total DFT energy (no corrections) = -1.6950 Ry per atom
1.0
0.000 3.608 3.608
3.608 0.000 3.608
3.608 3.608 0.000
Sr Tc Ni
2 1 1
Cartesian
1.804 1.804 1.804
5.411 5.411 5.411
0.000 0.000 0.000
3.608 3.608 3.608


# 11
Mn4Nb2O9 (SCAN, PBEsol geometry); uncorrected formation energy = -35.88 eV/f.u.
1.0
5.287 0.000 0.000
-2.644 4.579 0.000
0.000 0.000 14.191
Mn Nb O
8 4 18
Cartesian
0.000 3.053 0.265
0.000 3.053 4.315
0.000 3.053 7.361
0.000 3.053 11.410
2.644 1.526 2.781
2.644 1.526 6.831
2.644 1.526 9.877
2.644 1.526 13.926
0.000 0.000 2.005
0.000 0.000 5.091
0.000 0.000 9.100
0.000 0.000 12.186
-0.748 1.296 3.548
-1.895 3.283 10.643
-0.766 1.575 13.002
-1.662 3.128 5.906
1.496 0.000 3.548
0.748 1.296 10.643
0.766 1.575 5.906
-0.896 4.455 13.002
1.747 0.124 8.285
0.981 1.451 1.189
1.662 3.128 13.002
0.896 4.455 5.906
3.540 0.124 1.189
1.877 3.004 8.285
3.791 0.000 10.643
1.895 3.283 3.548
4.306 1.451 8.285
3.410 3.004 1.189


# 12
CaMg4Cu2 (SCAN, PBEsol geometry); total DFT energy (no corrections) = -0.6337 Ry per atom
1.0
2.338 1.350 7.399
-2.338 1.350 7.399
0.000 -2.699 7.399
Ca Mg Cu
1 4 2
Cartesian
0.000 0.000 0.000
0.000 0.000 3.127
0.000 0.000 9.212
0.000 0.000 12.985
0.000 0.000 19.070
0.000 0.000 5.738
0.000 0.000 16.459


# 13
ScSi2Au (SCAN, PBEsol geometry); uncorrected formation energy = -1.60 eV/f.u.
1.0
-1.905 1.905 4.409
1.905 -1.905 4.409
1.905 1.905 -4.409
Sc Si Au
1 2 1
Cartesian
0.000 0.000 0.000
0.000 0.000 4.409
0.000 1.905 2.205
1.905 0.000 2.205


# 14
Rb3TmO3 (SCAN, PBEsol geometry); relative energy among the computed polymorphs = 0.0000 eV per atom; uncorrected formation energy = -15.24 eV/f.u.
1.0
7.664 0.000 0.000
0.000 7.243 0.000
-0.746 0.000 11.559
Rb Tm O
12 4 12
Cartesian
0.424 0.897 1.835
0.051 2.725 7.614
2.050 1.170 10.653
2.423 2.451 4.873
2.289 5.031 9.373
2.662 5.833 3.593
4.256 1.410 7.966
4.629 2.212 2.186
4.495 4.792 6.686
4.868 6.073 0.907
6.867 4.519 3.945
6.494 6.346 9.724
1.169 4.276 0.808
0.796 6.589 6.587
6.122 0.654 4.972
5.749 2.967 10.752
0.577 0.361 4.717
0.204 3.260 10.497
1.552 4.670 6.349
1.925 6.195 0.569
1.788 0.396 8.052
2.161 3.226 2.272
4.757 4.017 9.287
5.130 6.847 3.507
4.993 1.049 10.990
5.366 2.573 5.210
6.714 3.983 1.062
6.341 6.882 6.842


# 15
YHgN2F (SCAN, PBEsol geometry); uncorrected formation energy = 0.39 eV/f.u.
1.0
4.112 0.000 0.000
0.000 4.112 0.000
0.000 0.000 4.342
Y Hg N F
1 1 2 1
Cartesian
0.000 0.000 0.000
2.056 2.056 2.171
0.000 2.056 2.171
2.056 0.000 2.171
2.056 2.056 0.000


# 16
ScNi4Rh (SCAN, PBEsol geometry); total DFT energy (no corrections) = -1.4044 Ry per atom
1.0
0.000 3.324 3.324
3.324 0.000 3.324
3.324 3.324 0.000
Sc Ni Rh
1 4 1
Cartesian
0.000 0.000 0.000
2.497 2.497 2.497
4.151 4.151 2.497
4.151 2.497 4.151
2.497 4.151 4.151
4.986 4.986 4.986


# 17
Zn2PIr (SCAN, PBEsol geometry); total DFT energy (no corrections) = -1.9950 Ry per atom
1.0
2.454 -3.819 0.000
2.454 3.819 0.000
0.000 0.000 2.912
Zn P Ir
2 1 1
Cartesian
1.227 1.910 0.000
1.227 -1.910 0.000
0.000 0.000 1.456
2.454 0.000 1.456


# 18
CoIrSeN2 (SCAN, PBEsol geometry); uncorrected formation energy = 4.20 eV/f.u.
1.0
3.686 0.000 0.000
0.000 3.686 0.000
0.000 0.000 5.635
Co Ir Se N
1 1 1 2
Cartesian
0.000 0.000 0.000
1.843 1.843 2.818
1.843 1.843 0.000
0.000 1.843 2.818
1.843 0.000 2.818


# 19
Sr2CuHg (SCAN, PBEsol geometry); relative energy among the computed polymorphs = 0.0596 eV per atom
1.0
3.800 0.000 0.000
0.000 3.800 0.000
0.000 0.000 7.704
Sr Cu Hg
2 1 1
Cartesian
0.000 0.000 1.837
0.000 0.000 5.867
1.900 1.900 0.000
1.900 1.900 3.852


# 20
RbNaBePt2 (SCAN, PBEsol geometry); total DFT energy (no corrections) = -2.3929 Ry per atom
1.0
4.876 0.000 0.000
0.000 4.876 0.000
0.000 0.000 4.904
Rb Na Be Pt
1 1 1 2
Cartesian
0.000 0.000 0.000
0.000 0.000 2.452
2.438 2.438 0.000
0.000 2.438 2.452
2.438 0.000 2.452


| no. | magnetic moment (Bohr magnetons per cell) |
| --- | --- |
| 1 | 0.9 |
| 2 | 0.0 |
| 3 | 1.5 |
| 4 | 0.0 |
| 5 | 0.0 |
| 6 | 2.0 |
| 7 | 0.0 |
| 8 | 0.1 |
| 9 | 8.6 |
| 10 | 3.2 |
| 11 | 40.0 |
| 12 | 0.0 |
| 13 | 0.0 |
| 14 | 0.4 |
| 15 | 0.0 |
| 16 | 2.6 |
| 17 | 0.0 |
| 18 | 2.1 |
| 19 | 0.0 |
| 20 | 0.0 |